(1)
8
Lattice="-3.347 3.347 4.602 3.347 -3.347 4.602 3.347 3.347 -4.602" Properties=species:S:1:pos:R:3 comment="SbOsSe2 | Alexandria via LeMat-Bulk | PBE | relaxed" spacegroup="No. 122" total_magnetization_mub_per_fu=0.00 dos_ef_per_ev_atom=0.752 dft_energy_ev_per_atom=-5.140 pbc="T T T"
Sb 0.000 0.000 0.000
Sb 0.000 3.347 2.301
Os 3.347 0.000 2.301
Os 0.000 0.000 4.602
Se 1.674 -1.236 3.452
Se 2.111 1.674 1.151
Se 1.674 4.583 -1.151
Se 1.236 1.674 5.753

***

(2)
4
Lattice="1.846 1.066 8.386 -1.846 1.066 8.386 0.000 -2.132 8.386" Properties=species:S:1:pos:R:3 comment="SbOsSe2 | Alexandria via LeMat-Bulk | PBE | relaxed" spacegroup="No. 166" total_magnetization_mub_per_fu=0.00 dos_ef_per_ev_atom=0.809 dft_energy_ev_per_atom=-5.429 pbc="T T T"
Sb 0.000 0.000 0.000
Os 0.000 0.000 12.579
Se 0.000 0.000 2.903
Se 0.000 0.000 22.255

***

(3)
4
Lattice="3.196 0.000 0.000 0.000 4.817 0.000 0.000 0.000 4.922" Properties=species:S:1:pos:R:3 comment="SbOsSe2 | Alexandria via LeMat-Bulk | PBE | relaxed" spacegroup="No. 47" total_magnetization_mub_per_fu=0.00 dos_ef_per_ev_atom=0.946 dft_energy_ev_per_atom=-4.742 pbc="T T T"
Sb 0.000 0.000 0.000
Os 1.598 0.000 2.461
Se 0.000 2.408 2.461
Se 1.598 2.408 0.000

***

- Number 2 is which compound?
  SbOsSe2